A relaxed Hf2AlCuAu crystal, computed with PBE.

Cell lengths 5.1508, 5.1508, 4.6335 Å; angles 90.00, 90.00, 90.00 degrees
Sites, in units of the cell vectors:
1 Hf 0.0000 0.5000 0.0000
2 Hf 0.5000 0.0000 0.0000
3 Al 0.0000 0.0000 0.5000
4 Cu 0.5000 0.5000 0.5000
5 Au 0.0000 0.0000 0.0000

Results
Crystal system: tetragonal
Symmetry: No. 123
Energy of formation from the pure elements: 763 meV per atom

A relaxed PmNdHgGe crystal, computed with PBE.

Cell lengths 5.2953, 5.2953, 5.2953 Å; angles 60.00, 60.00, 60.00 degrees
Sites, in units of the cell vectors:
1 Pm 0.0000 0.0000 0.0000
2 Nd 0.5000 0.5000 0.5000
3 Hg 0.7500 0.7500 0.7500
4 Ge 0.2500 0.2500 0.2500

Results
Crystal system: cubic
Symmetry: No. 216
Energy of formation from the pure elements: -570 meV per atom

A relaxed FeSiTe2 crystal, computed with PBE.

Cell lengths 6.4507, 6.4507, 6.4507 Å; angles 152.03, 137.25, 51.86 degrees
Sites, in units of the cell vectors:
1 Fe 0.0000 0.0000 0.0000
2 Si 0.1598 0.6598 0.5000
3 Te 0.5111 0.5111 0.0000
4 Te 0.8088 0.3088 0.5000

Results
Crystal system: orthorhombic
Symmetry: No. 44
Energy relative to the elements, uncorrected: 0.3990 eV/atom

A relaxed Re5Ni24 crystal, computed with PBE.

Cell lengths 7.5604, 7.5604, 7.5604 Å; angles 109.47, 109.47, 109.47 degrees
Sites, in units of the cell vectors:
1 Re 0.0000 0.0000 0.0000
2 Re 0.0000 0.0000 0.3557
3 Re 0.0000 0.3557 0.0000
4 Re 0.3557 0.0000 0.0000
5 Re 0.6443 0.6443 0.6443
6 Ni 0.0000 0.3158 0.5901
7 Ni 0.0000 0.5901 0.3158
8 Ni 0.0000 0.6221 0.8097
9 Ni 0.0000 0.8097 0.6221
10 Ni 0.1875 0.3779 0.3779
11 Ni 0.1903 0.1903 0.8125
12 Ni 0.1903 0.8125 0.1903
13 Ni 0.2743 0.6842 0.6842
14 Ni 0.3158 0.0000 0.5901
15 Ni 0.3158 0.5901 0.0000
16 Ni 0.3779 0.1875 0.3779
17 Ni 0.3779 0.3779 0.1875
18 Ni 0.4099 0.4099 0.7257
19 Ni 0.4099 0.7257 0.4099
20 Ni 0.5901 0.0000 0.3158
21 Ni 0.5901 0.3158 0.0000
22 Ni 0.6221 0.0000 0.8097
23 Ni 0.6221 0.8097 0.0000
24 Ni 0.6842 0.2743 0.6842
25 Ni 0.6842 0.6842 0.2743
26 Ni 0.7257 0.4099 0.4099
27 Ni 0.8097 0.0000 0.6221
28 Ni 0.8097 0.6221 0.0000
29 Ni 0.8125 0.1903 0.1903

Results
Crystal system: cubic
Symmetry: No. 217
Energy of formation from the pure elements: 34 meV per atom

A relaxed RbHfGa2Si crystal, computed with PBE.

Cell lengths 4.8875, 4.8875, 5.6714 Å; angles 90.00, 90.00, 90.00 degrees
Sites, in units of the cell vectors:
1 Rb 0.0000 0.0000 0.0000
2 Hf 0.5000 0.5000 0.0000
3 Ga 0.0000 0.5000 0.5000
4 Ga 0.5000 0.0000 0.5000
5 Si 0.0000 0.0000 0.5000

Results
Crystal system: tetragonal
Symmetry: No. 123
Energy relative to the elements, uncorrected: 1.1272 eV/atom

A relaxed RePPd2Pb crystal, computed with PBE.

Cell lengths 4.9710, 4.9710, 5.2102 Å; angles 90.00, 90.00, 90.00 degrees
Sites, in units of the cell vectors:
1 Re 0.0000 0.0000 0.0000
2 P 0.5000 0.5000 0.0000
3 Pd 0.0000 0.5000 0.5000
4 Pd 0.5000 0.0000 0.5000
5 Pb 0.0000 0.0000 0.5000

Results
Crystal system: tetragonal
Symmetry: No. 123
Energy of formation from the pure elements: 1889 meV per atom

A relaxed Ac2Te2I crystal, computed with PBE.

Cell lengths 8.1599, 8.1599, 8.1599 Å; angles 145.89, 132.45, 59.81 degrees
Sites, in units of the cell vectors:
1 Ac 0.1756 0.1756 0.0000
2 Ac 0.8244 0.8244 0.0000
3 Te 0.3365 0.8365 0.5000
4 Te 0.6635 0.1635 0.5000
5 I 0.0000 0.5000 0.5000

Results
Crystal system: orthorhombic
Symmetry: No. 71
Energy relative to the elements, uncorrected: -1.4171 eV/atom

A relaxed Sr3NdPa2N6 crystal, computed with PBE.

Cell lengths 8.1734, 8.1734, 7.3646 Å; angles 103.83, 103.83, 25.84 degrees
Sites, in units of the cell vectors:
1 Sr 0.0000 0.0000 0.0000
2 Sr 0.3347 0.3347 0.6671
3 Sr 0.6653 0.6653 0.3329
4 Nd 0.0000 0.0000 0.5000
5 Pa 0.3338 0.3338 0.1703
6 Pa 0.6662 0.6662 0.8297
7 N 0.1650 0.1650 0.6231
8 N 0.1806 0.1806 0.0508
9 N 0.4786 0.4786 0.2498
10 N 0.5214 0.5214 0.7502
11 N 0.8194 0.8194 0.9492
12 N 0.8350 0.8350 0.3769

Results
Crystal system: monoclinic
Symmetry: No. 12
Energy relative to the elements, uncorrected: -1.3237 eV/atom

Number 1: density 8.71 g/cm³, E -5.442 eV per atom. Number 2: density 8.90 g/cm³, E -4.180 eV per atom. Number 3: density 6.62 g/cm³, E -4.643 eV per atom. Number 4: density 11.68 g/cm³, E -6.897 eV per atom. Number 5: density 5.29 g/cm³, E -3.352 eV per atom. Number 6: density 8.22 g/cm³, E -4.501 eV per atom. Number 7: density 6.23 g/cm³, E -4.627 eV per atom. Number 8: density 7.61 g/cm³, E -7.887 eV per atom.